(1)
A plane-wave DFT calculation with GGA-PBE was carried out for a relaxed Tb5Tl2Ni2 crystal.

a = 15.9284 Å, b = 8.2317 Å, c = 7.0654 Å
α = 90.00°, β = 90.00°, γ = 90.00°
With the nearest neighbours (Å) after each atom.
Space group Cmce (No. 64)
Inequivalent atoms, fractional coordinates:
Tb 0.0000 0.0000 0.0000 x4  2 Ni 2.79
Tb 0.1159 0.1800 0.3466 x16  3 Ni 2.77-3.04
Tl 0.2175 0.0000 0.0000 x8  7 Tb 3.23-3.46
Ni 0.0000 0.1127 0.6277 x8  1 Ni 2.59, 3 Tb 2.77-2.79

## Properties
DFT total energy = -0.3458 Ry per atom

(2)
A plane-wave DFT calculation with GGA-PBE was carried out for a relaxed Cd8Pt crystal.

a = 11.5015 Å, b = 11.5015 Å, c = 2.9717 Å
α = 90.00°, β = 90.00°, γ = 90.00°
With the nearest neighbours (Å) after each atom.
Space group I4/mmm (No. 139)
Inequivalent atoms, fractional coordinates:
Cd 0.0000 0.3348 0.0000 x8  10 Cd 2.97-3.11
Cd 0.1529 0.1529 0.5000 x8  2 Pt 2.90, 6 Cd 2.97-3.11
Pt 0.0000 0.0000 0.0000 x2  8 Cd 2.90, 2 Pt 2.97

## Properties
energy relative to the lowest polymorph listed for this composition = 1.80 kJ per mole of atoms

(3)
A plane-wave DFT calculation with GGA-PBE was carried out for a relaxed Cs4TeS crystal.

a = 11.4555 Å, b = 16.1569 Å, c = 8.7461 Å
α = 90.00°, β = 124.47°, γ = 90.00°
With the nearest neighbours (Å) after each atom.
Space group C2/c (No. 15)
Inequivalent atoms, fractional coordinates:
Cs 0.1045 0.1598 0.0485 x8  2 S 3.50-3.59, 1 Cs 3.82, 2 Te 3.84-3.92
Cs 0.2187 0.4495 0.2665 x8  2 S 3.48-3.62, 1 Cs 3.82
Te 0.0000 0.3615 0.7500 x4  8 Cs 3.84-3.99
S 0.0000 0.0169 0.2500 x4  8 Cs 3.48-3.62

## Properties
energy relative to the elements, uncorrected = -0.9664 eV/atom
energy relative to the lowest polymorph listed for this composition = 4.00 kJ per mole of atoms

(4)
A plane-wave DFT calculation with GGA-PBE was carried out for a relaxed Pm4Dy4Ho crystal.

a = 16.8301 Å, b = 5.5957 Å, c = 6.8438 Å
α = 90.00°, β = 112.97°, γ = 90.00°
With the nearest neighbours (Å) after each atom.
Space group C2/m (No. 12)
Inequivalent atoms, fractional coordinates:
Pm 0.1328 0.0000 0.4602 x4  5 Dy 3.33-3.72, 3 Pm 3.52, 2 Ho 3.66
Pm 0.2185 0.5000 0.7869 x4  2 Dy 3.36-3.59, 1 Ho 3.43, 3 Pm 3.52
Dy 0.0730 0.0000 0.8770 x4  4 Pm 3.33-3.72, 3 Dy 3.39-3.48, 2 Ho 3.68
Dy 0.1267 0.5000 0.1809 x4  5 Pm 3.37-3.77, 2 Dy 3.39, 1 Ho 3.60
Ho 0.0000 0.5000 0.5000 x2  6 Pm 3.43-3.66, 6 Dy 3.60-3.68

## Properties
energy relative to the lowest polymorph listed for this composition = 8.61 kJ per mole of atoms

Copy entry 3 word for word.
A plane-wave DFT calculation with GGA-PBE was carried out for a relaxed Cs4TeS crystal.

a = 11.4555 Å, b = 16.1569 Å, c = 8.7461 Å
α = 90.00°, β = 124.47°, γ = 90.00°
With the nearest neighbours (Å) after each atom.
Space group C2/c (No. 15)
Inequivalent atoms, fractional coordinates:
Cs 0.1045 0.1598 0.0485 x8  2 S 3.50-3.59, 1 Cs 3.82, 2 Te 3.84-3.92
Cs 0.2187 0.4495 0.2665 x8  2 S 3.48-3.62, 1 Cs 3.82
Te 0.0000 0.3615 0.7500 x4  8 Cs 3.84-3.99
S 0.0000 0.0169 0.2500 x4  8 Cs 3.48-3.62

## Properties
energy relative to the elements, uncorrected = -0.9664 eV/atom
energy relative to the lowest polymorph listed for this composition = 4.00 kJ per mole of atoms

Number 3 is which compound? Cs4TeS